Crystalline OsW2 at its relaxed geometry, computed with PBE.

Calculated values
- V (Å³ per atom) = 16.69
- formation enthalpy at 0 K (eV/atom) = 0.486
- excess energy over the best structure of this formula in the dataset (meV per atom) = 484
- raw total energy (eV per atom) = -11.893
- magnetic moment (μB per atom) = 0.0000

Cell and atoms, written as CIF:
```
data_OsW2
_chemical_formula_sum 'Os3 W6'
_cell_length_a 6.5756
_cell_length_b 6.5756
_cell_length_c 4.0126
_cell_angle_alpha 90.00
_cell_angle_beta 90.00
_cell_angle_gamma 120.00
_space_group_name_H-M_alt 'P -6 2 m'
_space_group_IT_number 189
_space_group_name_Hall 'P -6 -2'
loop_
_atom_site_label
_atom_site_type_symbol
_atom_site_fract_x
_atom_site_fract_y
_atom_site_fract_z
Os1 Os 0.0000 0.0000 0.0000
Os2 Os 0.3333 0.6667 0.5000
W1 W 0.0000 0.2553 0.5000
W2 W 0.0000 0.5915 0.0000
```

Crystalline Li3HoI6 at its relaxed geometry, computed with PBE.

Calculated values
- V (Å³ per atom) = 44.03
- formation energy from raw total energies (eV per atom) = -1.1955
- raw total energy (eV per atom) = -3.157
- magnetic moment (μB per atom) = 0.0000

Cell and atoms, written as CIF:
```
data_Li3HoI6
_chemical_formula_sum 'Li3 Ho1 I6'
_cell_length_a 8.448
_cell_length_b 8.449
_cell_length_c 8.450
_cell_angle_alpha 61.52
_cell_angle_beta 61.32
_cell_angle_gamma 61.51
_space_group_name_H-M_alt 'P -1'
_space_group_IT_number 2
loop_
_space_group_symop_operation_xyz
'x,y,z'
'-x,-y,-z'
loop_
_atom_site_label
_atom_site_type_symbol
_atom_site_fract_x
_atom_site_fract_y
_atom_site_fract_z
Li1 Li 0.000 0.000 0.000
Li2 Li 0.000 0.500 0.500
Li3 Li 0.500 0.000 0.500
Ho1 Ho 0.500 0.000 0.000
I1 I 0.230 0.771 0.232
I2 I 0.250 0.251 0.750
I3 I 0.273 0.234 0.266
```

Crystalline Sr2SnAu2 at its relaxed geometry, computed with PBE.

Calculated values
- V (Å³ per atom) = 31.14
- formation enthalpy at 0 K (eV/atom) = -0.593
- raw total energy (eV per atom) = -3.378
- magnetic moment (μB per atom) = 0.0000

Cell and atoms, written as CIF:
```
data_Sr2SnAu2
_chemical_formula_sum 'Sr4 Sn2 Au4'
_cell_length_a 6.182
_cell_length_b 6.182
_cell_length_c 8.148
_cell_angle_alpha 90.00
_cell_angle_beta 90.00
_cell_angle_gamma 90.00
_space_group_name_H-M_alt 'I 4/m m m'
_space_group_IT_number 139
_space_group_name_Hall '-I 4 2'
loop_
_atom_site_label
_atom_site_type_symbol
_atom_site_fract_x
_atom_site_fract_y
_atom_site_fract_z
Sr1 Sr 0.000 0.500 0.250
Sn1 Sn 0.000 0.000 0.000
Au1 Au 0.000 0.000 0.339
```